[1]
The following is a DFT calculation (PBE) of a geometry-optimized Pm2YHoS4 structure.

```
data_Pm2YHoS4
_space_group_name_H-M_alt 'P 1 2/m 1'
_space_group_IT_number 10
_cell_length_a 6.8353
_cell_length_b 3.9189
_cell_length_c 6.9697
_cell_angle_alpha 90.00
_cell_angle_beta 108.87
_cell_angle_gamma 90.00
loop_
_space_group_symop_operation_xyz
'x,y,z'
'-x,-y,-z'
'-x,y,-z'
'x,-y,z'
loop_
_atom_site_label
_atom_site_type_symbol
_atom_site_fract_x
_atom_site_fract_y
_atom_site_fract_z
_atom_site_occupancy
Pm1 Pm 0.0000 0.0000 0.0000 1
Pm2 Pm 0.5000 0.5000 0.0000 1
Y1 Y 0.0000 0.5000 0.5000 1
Ho1 Ho 0.5000 0.0000 0.5000 1
S1 S 0.2471 0.0000 0.7373 1
S2 S 0.2563 0.5000 0.2638 1
```

---

[2]
The following is a DFT calculation (PBE) of a geometry-optimized PmY2Ho3S6 structure.

```
data_PmY2Ho3S6
_space_group_name_H-M_alt 'C 1 2/m 1'
_space_group_IT_number 12
_cell_length_a 6.7715
_cell_length_b 11.7751
_cell_length_c 6.7985
_cell_angle_alpha 90.00
_cell_angle_beta 109.44
_cell_angle_gamma 90.00
loop_
_space_group_symop_operation_xyz
'x,y,z'
'-x,-y,-z'
'-x,y,-z'
'x,-y,z'
'x+1/2,y+1/2,z'
'-x+1/2,-y+1/2,-z'
'-x+1/2,y+1/2,-z'
'x+1/2,-y+1/2,z'
loop_
_atom_site_label
_atom_site_type_symbol
_atom_site_fract_x
_atom_site_fract_y
_atom_site_fract_z
_atom_site_occupancy
Pm1 Pm 0.0000 0.0000 0.0000 1
Y1 Y 0.0000 0.3338 0.0000 1
Ho1 Ho 0.0000 0.1637 0.5000 1
Ho2 Ho 0.0000 0.5000 0.5000 1
S1 S 0.2443 0.3301 0.7426 1
S2 S 0.2455 0.5000 0.2553 1
```

---

[3]
The following is a DFT calculation (PBE) of a geometry-optimized PmY2HoS6 structure.

```
data_PmY2HoS6
_space_group_name_H-M_alt 'R 3'
_space_group_IT_number 146
_space_group_name_Hall 'R 3'
_cell_length_a 6.9649
_cell_length_b 6.9649
_cell_length_c 18.5870
_cell_angle_alpha 90.00
_cell_angle_beta 90.00
_cell_angle_gamma 120.00
loop_
_atom_site_label
_atom_site_type_symbol
_atom_site_fract_x
_atom_site_fract_y
_atom_site_fract_z
_atom_site_occupancy
Pm1 Pm 0.0000 0.0000 0.0000 1
Y1 Y 0.0000 0.0000 0.2942 1
Y2 Y 0.0000 0.0000 0.7969 1
Ho1 Ho 0.0000 0.0000 0.4958 1
S1 S 0.9996 0.3036 0.8948 1
S2 S 0.0124 0.7108 0.3956 1
```

---

[4]
The following is a DFT calculation (PBE) of a geometry-optimized Pm4YHoS8 structure.

```
data_Pm4YHoS8
_space_group_name_H-M_alt 'R 3 m'
_space_group_IT_number 160
_space_group_name_Hall 'R 3 -2"'
_cell_length_a 8.2107
_cell_length_b 8.2107
_cell_length_c 20.0484
_cell_angle_alpha 90.00
_cell_angle_beta 90.00
_cell_angle_gamma 120.00
loop_
_atom_site_label
_atom_site_type_symbol
_atom_site_fract_x
_atom_site_fract_y
_atom_site_fract_z
_atom_site_occupancy
Pm1 Pm 0.0000 0.0000 0.0000 1
Pm2 Pm 0.1680 0.3360 0.2087 1
Y1 Y 0.0000 0.0000 0.3766 1
Ho1 Ho 0.0000 0.0000 0.7511 1
S1 S 0.0000 0.0000 0.1331 1
S2 S 0.0000 0.0000 0.6221 1
S3 S 0.0160 0.5080 0.1248 1
S4 S 0.1799 0.3598 0.9585 1
```

---

[5]
The following is a DFT calculation (PBE) of a geometry-optimized Pm4YHo3S8 structure.

```
data_Pm4YHo3S8
_space_group_name_H-M_alt 'R -3 m'
_space_group_IT_number 166
_space_group_name_Hall '-R 3 2"'
_cell_length_a 7.8803
_cell_length_b 7.8803
_cell_length_c 19.6654
_cell_angle_alpha 90.00
_cell_angle_beta 90.00
_cell_angle_gamma 120.00
loop_
_atom_site_label
_atom_site_type_symbol
_atom_site_fract_x
_atom_site_fract_y
_atom_site_fract_z
_atom_site_occupancy
Pm1 Pm 0.0000 0.0000 0.0000 1
Pm2 Pm 0.0000 0.5000 0.0000 1
Y1 Y 0.0000 0.0000 0.5000 1
Ho1 Ho 0.0000 0.5000 0.5000 1
S1 S 0.0000 0.0000 0.2449 1
S2 S 0.0016 0.5008 0.7548 1
```

---

[6]
The following is a DFT calculation (PBE) of a geometry-optimized Pm2YHoS6 structure.

```
data_Pm2YHoS6
_space_group_name_H-M_alt 'R 3'
_space_group_IT_number 146
_space_group_name_Hall 'R 3'
_cell_length_a 7.0220
_cell_length_b 7.0220
_cell_length_c 18.6025
_cell_angle_alpha 90.00
_cell_angle_beta 90.00
_cell_angle_gamma 120.00
loop_
_atom_site_label
_atom_site_type_symbol
_atom_site_fract_x
_atom_site_fract_y
_atom_site_fract_z
_atom_site_occupancy
Pm1 Pm 0.0000 0.0000 0.0000 1
Pm2 Pm 0.0000 0.0000 0.4999 1
Y1 Y 0.0000 0.0000 0.2045 1
Ho1 Ho 0.0000 0.0000 0.7042 1
S1 S 0.0431 0.6837 0.7727 1
S2 S 0.0440 0.3616 0.2731 1
```

---

[7]
The following is a DFT calculation (PBE) of a geometry-optimized Pm3YHo4S8 structure.

```
data_Pm3YHo4S8
_space_group_name_H-M_alt 'R -3 m'
_space_group_IT_number 166
_space_group_name_Hall '-R 3 2"'
_cell_length_a 7.8623
_cell_length_b 7.8623
_cell_length_c 19.4844
_cell_angle_alpha 90.00
_cell_angle_beta 90.00
_cell_angle_gamma 120.00
loop_
_atom_site_label
_atom_site_type_symbol
_atom_site_fract_x
_atom_site_fract_y
_atom_site_fract_z
_atom_site_occupancy
Pm1 Pm 0.0000 0.5000 0.0000 1
Y1 Y 0.0000 0.0000 0.0000 1
Ho1 Ho 0.0000 0.0000 0.5000 1
Ho2 Ho 0.0000 0.5000 0.5000 1
S1 S 0.0000 0.0000 0.2450 1
S2 S 0.0048 0.5024 0.7538 1
```

---

[8]
The following is a DFT calculation (PBE) of a geometry-optimized Pm4Y3HoS8 structure.

```
data_Pm4Y3HoS8
_space_group_name_H-M_alt 'R -3 m'
_space_group_IT_number 166
_space_group_name_Hall '-R 3 2"'
_cell_length_a 7.9075
_cell_length_b 7.9075
_cell_length_c 19.6500
_cell_angle_alpha 90.00
_cell_angle_beta 90.00
_cell_angle_gamma 120.00
loop_
_atom_site_label
_atom_site_type_symbol
_atom_site_fract_x
_atom_site_fract_y
_atom_site_fract_z
_atom_site_occupancy
Pm1 Pm 0.0000 0.0000 0.0000 1
Pm2 Pm 0.0000 0.5000 0.0000 1
Y1 Y 0.0000 0.5000 0.5000 1
Ho1 Ho 0.0000 0.0000 0.5000 1
S1 S 0.0000 0.0000 0.2460 1
S2 S 0.0016 0.5008 0.2456 1
```

---

no.,formation energy (no corrections) (meV/atom)
1,-2012.3
2,-1994.7
3,-2053.1
4,-1922.4
5,-2008.3
6,-2045.2
7,-1997.4
8,-2012.6